The following is a DFT calculation (PBE) of a geometry-optimized Tc2NO structure.

Summary:
Magnetic moment   0.00 μB per formula unit
DOS(E_F)   3.78 states/eV/f.u.
Energy   -8.59 eV/atom
Energy above the most stable polymorph in this dataset   0 meV per atom
Energy relative to the elements, uncorrected   -86.3 meV/atom

Cell lengths 4.824, 4.824, 8.459 Å; angles 90.00, 90.00, 90.00 degrees
Space group I-42d (No. 122)
Unique sites:
Tc: 0.237 0.250 0.125 x8
N: 0.000 0.000 0.000 x4
O: 0.000 0.000 0.500 x4